Model A:
Material: CdMo2O
Method: DFT, GGA+U
State: relaxed

It has space group I-42d (No. 122), with a = 5.858 Å, b = 5.858 Å, c = 11.591 Å, α = 90.00°, β = 90.00° and γ = 90.00°. The distinct sites, in fractional coordinates, are Cd at (0.000, 0.000, 0.000), Mo at (0.090, 0.250, 0.625) and O at (0.000, 0.000, 0.500).

As for the calculated volume: 397.8 Å³/cell. The magnetic moment is 7.80 μB/f.u.



Model B:
Material: CdMo2O
Method: DFT, GGA+U
State: relaxed

It has space group Fm-3m (No. 225), with a = 6.248 Å, b = 6.248 Å, c = 6.248 Å, α = 90.00°, β = 90.00° and γ = 90.00°. The distinct sites, in fractional coordinates, are Cd at (0.000, 0.000, 0.000), Mo at (0.250, 0.250, 0.250) and O at (0.000, 0.000, 0.500).

As for the calculated volume: 243.9 Å³/cell. The magnetic moment is 0.00 μB/f.u.



Most stable pick: model A. Distance to second place: 1185 meV/atom.



Model A:
Material: Cd2MoO5
Method: DFT, GGA+U
State: relaxed

It has space group Cc (No. 9), with a = 11.510 Å, b = 5.358 Å, c = 7.750 Å, α = 90.00°, β = 112.36° and γ = 90.00°. The distinct sites, in fractional coordinates, are Cd at (0.000, 0.001, 0.000), Cd at (0.302, 0.011, 0.566), Mo at (0.157, 0.483, 0.761), O at (0.080, 0.202, 0.823), O at (0.157, 0.346, 0.539), O at (0.245, 0.217, 0.271), O at (0.317, 0.337, 0.922) and O at (0.498, 0.153, 0.665).

As for the calculated volume: 442.0 Å³/cell. The magnetic moment is 0.00 μB/f.u.



Model B:
Material: Cd2MoO5
Method: DFT, GGA+U
State: relaxed

It has space group Cmcm (No. 63), with a = 3.864 Å, b = 11.559 Å, c = 10.852 Å, α = 90.00°, β = 90.00° and γ = 90.00°. The distinct sites, in fractional coordinates, are Cd at (0.000, 0.142, 0.067), Mo at (0.000, 0.155, 0.750), O at (0.000, 0.046, 0.625), O at (0.000, 0.281, 0.615) and O at (0.000, 0.325, 0.250).

As for the calculated volume: 484.7 Å³/cell. The magnetic moment is 0.00 μB/f.u.



Most stable pick: model B. Distance to second place: 7 meV/atom.



Model A:
Material: CdTeMoO6
Method: DFT, GGA+U
State: relaxed

It has space group P-31c (No. 163), with a = 5.4525 Å, b = 5.4525 Å, c = 9.5786 Å, α = 90.00°, β = 90.00° and γ = 120.00°. The distinct sites, in fractional coordinates, are Cd at (0.0000, 0.0000, 0.0000), Te at (0.3333, 0.6667, 0.2500), Mo at (0.3333, 0.6667, 0.7500) and O at (0.0240, 0.3728, 0.6377).

As for the calculated volume: 246.6 Å³/cell. The magnetic moment is 0.00 μB/f.u.



Model B:
Material: CdTeMoO6
Method: DFT, GGA+U
State: relaxed

It has space group P-42_1m (No. 113), with a = 5.361 Å, b = 5.361 Å, c = 9.388 Å, α = 90.00°, β = 90.00° and γ = 90.00°. The distinct sites, in fractional coordinates, are Cd at (0.000, 0.000, 0.000), Te at (0.000, 0.500, 0.254), Mo at (0.000, 0.500, 0.688), O at (0.182, 0.682, 0.576), O at (0.192, 0.308, 0.121) and O at (0.219, 0.281, 0.787).

As for the calculated volume: 269.8 Å³/cell. The magnetic moment is 0.00 μB/f.u.



Most stable pick: model B. Distance to second place: 111 meV/atom.